First-principles (PBE) data for a geometry-optimized Nd10Dy6Th structure, as listed in the Alexandria database.

ΔH_f (0 K): 2.518 eV/f.u.
D(E_F): 1.5323 states/eV/atom

The structure in POSCAR format:
```
Nd10Dy6Th
1.0
9.830 0.000 0.000
-4.915 8.513 0.000
0.000 0.000 6.987
Nd Dy Th
10 6 1
direct
0.000 0.277 0.320
0.000 0.723 0.680
0.277 0.000 0.320
0.277 0.277 0.680
0.333 0.667 0.000
0.333 0.667 0.500
0.667 0.333 0.000
0.667 0.333 0.500
0.723 0.000 0.680
0.723 0.723 0.320
0.000 0.366 0.814
0.000 0.634 0.186
0.366 0.000 0.814
0.366 0.366 0.186
0.634 0.000 0.186
0.634 0.634 0.814
0.000 0.000 0.000
```

First-principles (PBE) data for a geometry-optimized Nd4Dy10Th structure, as listed in the Alexandria database.

ΔH_f (0 K): 3.693 eV/f.u.
D(E_F): 1.0810 states/eV/atom

The structure in POSCAR format:
```
Nd4Dy10Th
1.0
-5.627 5.627 4.050
5.627 -5.627 4.050
5.627 5.627 -4.050
Nd Dy Th
4 10 1
direct
0.225 0.225 0.450
0.225 0.775 0.000
0.775 0.225 0.000
0.775 0.775 0.550
0.089 0.296 0.793
0.250 0.750 0.500
0.296 0.089 0.793
0.296 0.502 0.207
0.498 0.704 0.793
0.502 0.296 0.207
0.704 0.498 0.793
0.704 0.911 0.207
0.750 0.250 0.500
0.911 0.704 0.207
0.000 0.000 0.000
```

First-principles (PBE) data for a geometry-optimized Nd3Dy2Th4 structure, as listed in the Alexandria database.

ΔH_f (0 K): 0.611 eV/f.u.
D(E_F): 1.5839 states/eV/atom

The structure in POSCAR format:
```
Nd3Dy2Th4
1.0
6.231 0.000 0.000
3.112 5.412 0.000
3.060 1.794 8.817
Nd Dy Th
3 2 4
direct
0.000 0.000 0.000
0.445 0.113 0.669
0.555 0.887 0.331
0.225 0.558 0.331
0.775 0.442 0.669
0.102 0.774 0.669
0.329 0.338 0.001
0.671 0.662 0.999
0.898 0.226 0.331
```

Q: Which value of ΔH_f (0 K) does entry 1 give?
A: 2.518 eV/f.u.